Entry from Alexandria via LeMat-Bulk: Pm2USi4Pt3 after structural relaxation (PBE).

Cell lengths 4.2555, 4.2555, 10.8986 Å; angles 90.00, 90.00, 90.00 degrees
Last column: nearest neighbours and their distance in Å.
Element x y z (fractional)
Pm: 0.5000 0.0000 0.2297  8 Si 3.20-3.29, 4 Pt 3.29
Pm: 0.0000 0.5000 0.7703  8 Si 3.20-3.29, 4 Pt 3.29
Pt: 0.0000 0.0000 0.5000  4 Si 2.82, 4 U 3.01
Pt: 0.0000 0.5000 0.1085  5 Si 2.42-2.43
Pt: 0.5000 0.0000 0.8915  5 Si 2.42-2.43
Si: 0.0000 0.0000 0.0000  4 Pt 2.43
Si: 0.5000 0.5000 0.0000  4 Pt 2.43
Si: 0.0000 0.5000 0.3306  1 Pt 2.42
Si: 0.5000 0.0000 0.6694  1 Pt 2.42
U: 0.5000 0.5000 0.5000  4 Si 2.82, 4 Pt 3.01

Results
Total DFT energy (no corrections) (eV/atom): -6.862
Total magnetic moment (Bohr magnetons per cell): 2.292
Space-group type: No. 115
N(E_F) (states/eV per cell): 10.2



Entry from Alexandria via LeMat-Bulk: Pm2VSi4Pt3 after structural relaxation (PBE).

Cell lengths 4.1942, 4.1942, 10.1552 Å; angles 90.00, 90.00, 90.00 degrees
Last column: nearest neighbours and their distance in Å.
Element x y z (fractional)
Si: 0.0000 0.5000 0.3655  3 Pt 2.47-2.50, 2 V 2.50
Si: 0.5000 0.0000 0.6345  3 Pt 2.47-2.50, 2 V 2.50
Si: 0.0000 0.0000 0.0000  4 Pt 2.44
Si: 0.5000 0.5000 0.0000  4 Pt 2.44
Pt: 0.0000 0.5000 0.1220  5 Si 2.44-2.47
Pt: 0.0000 0.0000 0.5000  4 Si 2.50
Pt: 0.5000 0.0000 0.8780  5 Si 2.44-2.47
V: 0.5000 0.5000 0.5000  4 Si 2.50
Pm: 0.0000 0.5000 0.7553  8 Si 3.21-3.25, 6 Pt 3.22-3.33, 2 V 3.33
Pm: 0.5000 0.0000 0.2447  8 Si 3.21-3.25, 6 Pt 3.22-3.33, 2 V 3.33

Results
Total DFT energy (no corrections) (eV/atom): -6.828
Total magnetic moment (Bohr magnetons per cell): 1.238
Space-group type: No. 115
N(E_F) (states/eV per cell): 6.1



Entry from Alexandria via LeMat-Bulk: Pm2YSi3Pt12 after structural relaxation (PBE).

Cell lengths 7.6958, 7.6958, 7.6958 Å; angles 65.62, 65.62, 65.62 degrees
Last column: nearest neighbours and their distance in Å.
Element x y z (fractional)
Pt: 0.8530 0.8530 0.4021  1 Si 2.36
Pt: 0.3499 0.3499 0.8996  2 Si 2.37
Pt: 0.5979 0.1470 0.1470  1 Si 2.36
Pt: 0.8530 0.4021 0.8530  1 Si 2.36
Pt: 0.1470 0.1470 0.5979  1 Si 2.36
Pt: 0.3499 0.8996 0.3499  2 Si 2.37
Pt: 0.1470 0.5979 0.1470  1 Si 2.36
Pt: 0.1004 0.6501 0.6501  2 Si 2.37
Pt: 0.4021 0.8530 0.8530  1 Si 2.36
Pt: 0.8996 0.3499 0.3499  2 Si 2.37
Pt: 0.6501 0.6501 0.1004  2 Si 2.37
Pt: 0.6501 0.1004 0.6501  2 Si 2.37
Y: 0.0000 0.0000 0.0000  6 Pt 2.72
Si: 0.0000 0.5000 0.0000  6 Pt 2.36-2.37
Si: 0.0000 0.0000 0.5000  6 Pt 2.36-2.37
Si: 0.5000 0.0000 0.0000  6 Pt 2.36-2.37
Pm: 0.4021 0.4021 0.4021  6 Pt 2.88-2.89
Pm: 0.5979 0.5979 0.5979  6 Pt 2.88-2.89

Results
Total DFT energy (no corrections) (eV/atom): -6.370
Total magnetic moment (Bohr magnetons per cell): 0.000
Space-group type: No. 166
N(E_F) (states/eV per cell): 9.9



Entry from Alexandria via LeMat-Bulk: PmYSi2Pt2 after structural relaxation (PBE).

Cell lengths 4.1596, 4.1596, 8.2942 Å; angles 90.00, 90.00, 120.00 degrees
Last column: nearest neighbours and their distance in Å.
Element x y z (fractional)
Pt: 0.3333 0.6667 0.2578  3 Si 2.40
Pt: 0.6667 0.3333 0.7422  3 Si 2.40
Pm: 0.0000 0.0000 0.0000  6 Si 3.20, 6 Pt 3.22
Si: 0.3333 0.6667 0.7454  3 Pt 2.40
Si: 0.6667 0.3333 0.2546  3 Pt 2.40
Y: 0.0000 0.0000 0.5000  6 Pt 3.13, 6 Si 3.15

Results
Total DFT energy (no corrections) (eV/atom): -6.837
Total magnetic moment (Bohr magnetons per cell): 0.000
Space-group type: No. 164
N(E_F) (states/eV per cell): 4.6



Entry from Alexandria via LeMat-Bulk: Pm2YSi3Pt4 after structural relaxation (PBE).

Cell lengths 4.2597, 4.2597, 10.8901 Å; angles 90.00, 90.00, 90.00 degrees
Last column: nearest neighbours and their distance in Å.
Element x y z (fractional)
Y: 0.5000 0.5000 0.5000  4 Pt 2.77, 4 Si 3.01
Pt: 0.5000 0.0000 0.6627  1 Si 2.39
Pt: 0.0000 0.5000 0.3373  1 Si 2.39
Pt: 0.5000 0.5000 0.0000  4 Si 2.49
Pt: 0.0000 0.0000 0.0000  4 Si 2.49
Si: 0.5000 0.0000 0.8818  5 Pt 2.39-2.49
Si: 0.0000 0.5000 0.1182  5 Pt 2.39-2.49
Si: 0.0000 0.0000 0.5000  4 Pt 2.77, 4 Y 3.01
Pm: 0.0000 0.5000 0.7749  4 Si 3.23, 8 Pt 3.25
Pm: 0.5000 0.0000 0.2251  4 Si 3.23, 8 Pt 3.25

Results
Total DFT energy (no corrections) (eV/atom): -6.693
Total magnetic moment (Bohr magnetons per cell): 0.000
Space-group type: No. 115
N(E_F) (states/eV per cell): 7.3



Entry from Alexandria via LeMat-Bulk: Pm2YSi2Pt7 after structural relaxation (PBE).

Cell lengths 4.0817, 4.0817, 13.8585 Å; angles 84.37, 84.37, 89.49 degrees
Last column: nearest neighbours and their distance in Å.
Element x y z (fractional)
Pm: 0.8936 0.8936 0.3554  7 Pt 3.00-3.35, 4 Si 3.16-3.29
Pm: 0.1064 0.1064 0.6446  7 Pt 3.00-3.35, 4 Si 3.16-3.29
Pt: 0.5531 0.0541 0.8407  2 Si 2.41
Pt: 0.5000 0.5000 0.0000  4 Y 2.87-2.90, 8 Pt 2.99-3.00
Pt: 0.9459 0.4469 0.1593  2 Si 2.41
Pt: 0.0541 0.5531 0.8407  2 Si 2.41
Pt: 0.6196 0.6196 0.5757  1 Si 2.35
Pt: 0.4469 0.9459 0.1593  2 Si 2.41
Pt: 0.3804 0.3804 0.4243  1 Si 2.35
Si: 0.4148 0.4148 0.2530  5 Pt 2.35-2.41
Si: 0.5852 0.5852 0.7470  5 Pt 2.35-2.41
Y: 0.0000 0.0000 0.0000  12 Pt 2.87-2.99

Results
Total DFT energy (no corrections) (eV/atom): -6.868
Total magnetic moment (Bohr magnetons per cell): 0.000
Space-group type: No. 12
N(E_F) (states/eV per cell): 5.4



Entry from Alexandria via LeMat-Bulk: PmZnSi2Pt5 after structural relaxation (PBE).

Cell lengths 4.0747, 4.0747, 10.3995 Å; angles 90.00, 90.00, 90.00 degrees
Last column: nearest neighbours and their distance in Å.
Element x y z (fractional)
Pt: 0.0000 0.5000 0.8419  2 Si 2.37, 2 Zn 2.62
Pt: 0.5000 0.0000 0.8419  2 Si 2.37, 2 Zn 2.62
Pt: 0.5000 0.0000 0.1581  2 Si 2.37, 2 Zn 2.62
Pt: 0.5000 0.5000 0.5000  2 Si 2.35
Pt: 0.0000 0.5000 0.1581  2 Si 2.37, 2 Zn 2.62
Si: 0.5000 0.5000 0.7258  5 Pt 2.35-2.37
Si: 0.5000 0.5000 0.2742  5 Pt 2.35-2.37
Pm: 0.0000 0.0000 0.5000  4 Pt 2.88
Zn: 0.0000 0.0000 0.0000  8 Pt 2.62

Results
Total DFT energy (no corrections) (eV/atom): -5.949
Total magnetic moment (Bohr magnetons per cell): 0.000
Space-group type: No. 123
N(E_F) (states/eV per cell): 2.3



Entry from Alexandria via LeMat-Bulk: PmZnSiPt2 after structural relaxation (PBE).

Cell lengths 4.1583, 3.9673, 6.3111 Å; angles 108.32, 109.23, 90.00 degrees
Last column: nearest neighbours and their distance in Å.
Element x y z (fractional)
Si: 0.8279 0.8279 0.6559  3 Pt 2.34-2.38, 2 Zn 2.58
Pt: 0.0365 0.0365 0.0730  1 Si 2.34
Pt: 0.7108 0.2108 0.4216  2 Si 2.38
Zn: 0.1920 0.6920 0.3840  2 Si 2.58, 6 Pt 2.64-2.88
Pm: 0.4449 0.4449 0.8898  6 Pt 3.05-3.35, 4 Si 3.16

Results
Total DFT energy (no corrections) (eV/atom): -5.587
Total magnetic moment (Bohr magnetons per cell): 0.000
Space-group type: No. 44
N(E_F) (states/eV per cell): 2.1



Entry from Alexandria via LeMat-Bulk: PmZn2SiPt4 after structural relaxation (PBE).

Cell lengths 4.3293, 4.3293, 8.8787 Å; angles 75.89, 75.89, 60.00 degrees
Last column: nearest neighbours and their distance in Å.
Element x y z (fractional)
Pt: 0.5940 0.5940 0.2181  1 Si 2.40, 3 Zn 2.52
Pt: 0.8625 0.8625 0.4125  3 Si 2.61, 4 Zn 2.85, 3 Pt 2.91
Pt: 0.1375 0.1375 0.5875  3 Si 2.61, 4 Zn 2.85, 3 Pt 2.91
Pt: 0.4060 0.4060 0.7819  1 Si 2.40, 3 Zn 2.52
Zn: 0.2491 0.2491 0.2527  3 Pt 2.52
Zn: 0.7509 0.7509 0.7473  3 Pt 2.52
Pm: 0.0000 0.0000 0.0000  6 Pt 3.11, 6 Zn 3.30
Si: 0.5000 0.5000 0.5000  8 Pt 2.40-2.61

Results
Total DFT energy (no corrections) (eV/atom): -5.356
Total magnetic moment (Bohr magnetons per cell): 0.000
Space-group type: No. 166
N(E_F) (states/eV per cell): 3.9



Entry from Alexandria via LeMat-Bulk: PmZnSi2Pt2 after structural relaxation (PBE).

Cell lengths 4.2144, 4.2144, 6.9176 Å; angles 90.00, 90.00, 120.00 degrees
Last column: nearest neighbours and their distance in Å.
Element x y z (fractional)
Si: 0.6667 0.3333 0.2845  4 Pt 2.45-2.73
Si: 0.3333 0.6667 0.7155  4 Pt 2.45-2.73
Pm: 0.0000 0.0000 0.0000  6 Si 3.13, 6 Pt 3.29, 2 Zn 3.46
Pt: 0.3333 0.6667 0.3211  4 Si 2.45-2.73, 3 Zn 2.73
Pt: 0.6667 0.3333 0.6789  4 Si 2.45-2.73, 3 Zn 2.73
Zn: 0.0000 0.0000 0.5000  6 Pt 2.73, 6 Si 2.85

Results
Total DFT energy (no corrections) (eV/atom): -5.649
Total magnetic moment (Bohr magnetons per cell): 0.000
Space-group type: No. 164
N(E_F) (states/eV per cell): 3.1



Entry from Alexandria via LeMat-Bulk: Pm2ZnSi3Pt4 after structural relaxation (PBE).

Cell lengths 4.2655, 4.2655, 9.9817 Å; angles 90.00, 90.00, 90.00 degrees
Last column: nearest neighbours and their distance in Å.
Element x y z (fractional)
Zn: 0.5000 0.5000 0.5000  4 Pt 2.52
Pt: 0.0000 0.5000 0.3662  3 Si 2.37-2.52, 2 Zn 2.52
Pt: 0.5000 0.0000 0.6338  3 Si 2.37-2.52, 2 Zn 2.52
Pt: 0.0000 0.0000 0.0000  4 Si 2.49
Pt: 0.5000 0.5000 0.0000  4 Si 2.49
Si: 0.0000 0.5000 0.1284  5 Pt 2.37-2.49
Si: 0.0000 0.0000 0.5000  4 Pt 2.52
Si: 0.5000 0.0000 0.8716  5 Pt 2.37-2.49
Pm: 0.5000 0.0000 0.2537  8 Pt 3.22-3.31, 6 Si 3.26, 2 Zn 3.26
Pm: 0.0000 0.5000 0.7463  8 Pt 3.22-3.31, 2 Zn 3.26, 6 Si 3.26

Results
Total DFT energy (no corrections) (eV/atom): -6.174
Total magnetic moment (Bohr magnetons per cell): 0.000
Space-group type: No. 115
N(E_F) (states/eV per cell): 5.0



> The highest N(E_F) belongs to which entry?

Pm2USi4Pt3



> What is the total DFT energy (no corrections) in the second record?

-6.828 eV/atom



Please write out number 10 again, unchanged.
Entry from Alexandria via LeMat-Bulk: PmZnSi2Pt2 after structural relaxation (PBE).

Cell lengths 4.2144, 4.2144, 6.9176 Å; angles 90.00, 90.00, 120.00 degrees
Last column: nearest neighbours and their distance in Å.
Element x y z (fractional)
Si: 0.6667 0.3333 0.2845  4 Pt 2.45-2.73
Si: 0.3333 0.6667 0.7155  4 Pt 2.45-2.73
Pm: 0.0000 0.0000 0.0000  6 Si 3.13, 6 Pt 3.29, 2 Zn 3.46
Pt: 0.3333 0.6667 0.3211  4 Si 2.45-2.73, 3 Zn 2.73
Pt: 0.6667 0.3333 0.6789  4 Si 2.45-2.73, 3 Zn 2.73
Zn: 0.0000 0.0000 0.5000  6 Pt 2.73, 6 Si 2.85

Results
Total DFT energy (no corrections) (eV/atom): -5.649
Total magnetic moment (Bohr magnetons per cell): 0.000
Space-group type: No. 164
N(E_F) (states/eV per cell): 3.1